Computed, not measured: CsTl2BiSb after structural relaxation at the PBE-GGA level of DFT.

Geometry as CIF:
```
data_CsTl2BiSb
_symmetry_space_group_name_H-M 'P 1'
_symmetry_Int_Tables_number 1
_cell_length_a 8.946
_cell_length_b 8.946
_cell_length_c 8.946
_cell_angle_alpha 148.16
_cell_angle_beta 148.16
_cell_angle_gamma 45.66
loop_
_symmetry_equiv_pos_as_xyz
'x,y,z'
loop_
_atom_site_label
_atom_site_type_symbol
_atom_site_fract_x
_atom_site_fract_y
_atom_site_fract_z
_atom_site_occupancy
Cs1 Cs 0.000 0.000 0.000 1
Tl1 Tl 0.380 0.380 0.000 1
Tl2 Tl 0.620 0.620 0.000 1
Bi1 Bi 0.250 0.750 0.500 1
Sb1 Sb 0.750 0.250 0.500 1
```

Properties
* formation energy from raw total energies: -0.156 eV per atom
* N(E_F): 1.27 states/eV/f.u.
* SG: I-4m2 (119)

Computed, not measured: Li7Mg6 after structural relaxation at the PBE-GGA level of DFT.

Geometry as CIF:
```
data_Li7Mg6
_symmetry_space_group_name_H-M 'P 1'
_symmetry_Int_Tables_number 1
_cell_length_a 10.505
_cell_length_b 10.505
_cell_length_c 10.505
_cell_angle_alpha 30.36
_cell_angle_beta 30.36
_cell_angle_gamma 30.36
loop_
_symmetry_equiv_pos_as_xyz
'x,y,z'
loop_
_atom_site_label
_atom_site_type_symbol
_atom_site_fract_x
_atom_site_fract_y
_atom_site_fract_z
_atom_site_occupancy
Li1 Li 0.000 0.000 0.000 1
Li2 Li 0.093 0.093 0.584 1
Li3 Li 0.093 0.584 0.093 1
Li4 Li 0.416 0.907 0.907 1
Li5 Li 0.584 0.093 0.093 1
Li6 Li 0.907 0.416 0.907 1
Li7 Li 0.907 0.907 0.416 1
Mg1 Mg 0.166 0.166 0.166 1
Mg2 Mg 0.349 0.349 0.349 1
Mg3 Mg 0.452 0.452 0.452 1
Mg4 Mg 0.548 0.548 0.548 1
Mg5 Mg 0.651 0.651 0.651 1
Mg6 Mg 0.834 0.834 0.834 1
```

Properties
* N(E_F): 5.53 states/eV/f.u.
* SG: R-3m (166)
* E_form: -0.02 eV/atom

Computed, not measured: U2AlCo9 after structural relaxation at the PBE-GGA level of DFT.

Geometry as CIF:
```
data_U2AlCo9
_symmetry_space_group_name_H-M 'P 1'
_symmetry_Int_Tables_number 1
_cell_length_a 3.757
_cell_length_b 3.757
_cell_length_c 10.720
_cell_angle_alpha 90.00
_cell_angle_beta 90.00
_cell_angle_gamma 90.00
loop_
_symmetry_equiv_pos_as_xyz
'x,y,z'
loop_
_atom_site_label
_atom_site_type_symbol
_atom_site_fract_x
_atom_site_fract_y
_atom_site_fract_z
_atom_site_occupancy
U1 U 0.000 0.000 0.177 1
U2 U 0.000 0.000 0.823 1
Al1 Al 0.000 0.000 0.500 1
Co1 Co 0.000 0.500 0.000 1
Co2 Co 0.000 0.500 0.347 1
Co3 Co 0.000 0.500 0.653 1
Co4 Co 0.500 0.000 0.000 1
Co5 Co 0.500 0.000 0.347 1
Co6 Co 0.500 0.000 0.653 1
Co7 Co 0.500 0.500 0.174 1
Co8 Co 0.500 0.500 0.500 1
Co9 Co 0.500 0.500 0.826 1
```

Properties
* N(E_F): 9.73 states/eV/f.u.
* SG: P4/mmm (123)
* E_form: -0.25 eV/atom

Computed, not measured: ZrTcRu2 after structural relaxation at the PBE-GGA level of DFT.

Geometry as CIF:
```
data_ZrTcRu2
_symmetry_space_group_name_H-M 'P 1'
_symmetry_Int_Tables_number 1
_cell_length_a 9.515
_cell_length_b 9.515
_cell_length_c 9.515
_cell_angle_alpha 16.93
_cell_angle_beta 16.93
_cell_angle_gamma 16.93
loop_
_symmetry_equiv_pos_as_xyz
'x,y,z'
loop_
_atom_site_label
_atom_site_type_symbol
_atom_site_fract_x
_atom_site_fract_y
_atom_site_fract_z
_atom_site_occupancy
Zr1 Zr 0.000 0.000 0.000 1
Tc1 Tc 0.240 0.240 0.240 1
Ru1 Ru 0.499 0.499 0.499 1
Ru2 Ru 0.756 0.756 0.756 1
```

Properties
* N(E_F): 4.71 states/eV/f.u.
* SG: R3m (160)
* E_form: 0.21 eV/atom

Computed, not measured: BaV3As after structural relaxation at the PBE-GGA level of DFT.

Geometry as CIF:
```
data_BaV3As
_symmetry_space_group_name_H-M 'P 1'
_symmetry_Int_Tables_number 1
_cell_length_a 4.958
_cell_length_b 4.958
_cell_length_c 4.958
_cell_angle_alpha 90.00
_cell_angle_beta 90.00
_cell_angle_gamma 90.00
loop_
_symmetry_equiv_pos_as_xyz
'x,y,z'
loop_
_atom_site_label
_atom_site_type_symbol
_atom_site_fract_x
_atom_site_fract_y
_atom_site_fract_z
_atom_site_occupancy
Ba1 Ba 0.000 0.000 0.000 1
V1 V 0.000 0.500 0.500 1
V2 V 0.500 0.000 0.500 1
V3 V 0.500 0.500 0.000 1
As1 As 0.500 0.500 0.500 1
```

Properties
* N(E_F): 6.34 states/eV/f.u.
* SG: Pm-3m (221)
* E_form: 0.71 eV/atom

Computed, not measured: La5Cr after structural relaxation at the PBE-GGA level of DFT.

Geometry as CIF:
```
data_La5Cr
_symmetry_space_group_name_H-M 'P 1'
_symmetry_Int_Tables_number 1
_cell_length_a 6.639
_cell_length_b 6.639
_cell_length_c 6.639
_cell_angle_alpha 60.00
_cell_angle_beta 60.00
_cell_angle_gamma 60.00
loop_
_symmetry_equiv_pos_as_xyz
'x,y,z'
loop_
_atom_site_label
_atom_site_type_symbol
_atom_site_fract_x
_atom_site_fract_y
_atom_site_fract_z
_atom_site_occupancy
La1 La 0.000 0.000 0.000 1
La2 La 0.377 0.377 0.377 1
La3 La 0.377 0.377 0.870 1
La4 La 0.377 0.870 0.377 1
La5 La 0.870 0.377 0.377 1
Cr1 Cr 0.750 0.750 0.750 1
```

Properties
* N(E_F): 8.14 states/eV/f.u.
* SG: F-43m (216)
* E_form: 0.53 eV/atom

Values of volume, in order: 198.62, 262.47, 151.27, 63.71, 121.86, 206.89, all in Å³ per cell.